The following is a DFT calculation (PBE-GGA) of a relaxed structure of Hf2Sc2Ru.

Properties
M_tot   0.00 μB/cell
Space-group type   P4/mbm
ΔE_f   30 meV per atom
Excess energy over the best structure of this formula in the dataset   0.00 eV/f.u.

Lattice parameters (Å, degrees): 6.498 6.498 4.993 90.00 90.00 90.00
Fractional positions:
1 Sc 0.348 0.848 0.000
2 Sc 0.848 0.652 0.000
3 Sc 0.652 0.152 0.000
4 Sc 0.152 0.348 0.000
5 Ru 0.000 0.000 0.000
6 Ru 0.500 0.500 0.000
7 Hf 0.164 0.664 0.500
8 Hf 0.664 0.836 0.500
9 Hf 0.836 0.336 0.500
10 Hf 0.336 0.164 0.500